No. 1
Density functional theory data (GGA-PBE) for a relaxed La3ErTm6 crystal.

The structure belongs to space group R3 (No. 146, hexagonal axes); the cell edges are 9.8587, 9.8587 and 11.5679 Å and the angles 90.00°, 90.00° and 120.00°. The distinct sites, in fractional coordinates, are La at (0.0000, 0.0000, 0.0000), La at (0.0000, 0.0000, 0.2478), La at (0.0000, 0.0000, 0.4953), Er at (0.0000, 0.0000, 0.7478), Tm at (0.0030, 0.3418, 0.1638) and Tm at (0.0084, 0.6721, 0.6634).

For the formation energy, the calculation gives 3.06 eV per formula unit. The value obtained for the polymorph energy (0 for the lowest one) is 147.4 meV/atom.



No. 2
Density functional theory data (GGA-PBE) for a relaxed LaEr6Tm8 crystal.

The structure belongs to space group R-3 (No. 148, hexagonal axes); the cell edges are 8.9219, 8.9219 and 20.4115 Å and the angles 90.00°, 90.00° and 120.00°. The distinct sites, in fractional coordinates, are La at (0.0000, 0.0000, 0.0000), Er at (0.0623, 0.8177, 0.7083), Tm at (0.0000, 0.0000, 0.4235) and Tm at (0.0804, 0.5283, 0.8091).

For the formation energy, the calculation gives 2.16 eV per formula unit. The value obtained for the polymorph energy (0 for the lowest one) is 0.0 meV/atom.



No. 3
Density functional theory data (GGA-PBE) for a relaxed LaEr4Tm2 crystal.

The structure belongs to space group C2/m (No. 12); the cell edges are 16.509, 3.508 and 8.689 Å and the angles 90.00°, 119.10° and 90.00°. The distinct sites, in fractional coordinates, are La at (0.000, 0.000, 0.000), Er at (0.142, 0.500, 0.830), Er at (0.206, 0.500, 0.296) and Tm at (0.071, 0.000, 0.432).

For the formation energy, the calculation gives 0.24 eV per formula unit.



No. 4
Density functional theory data (GGA-PBE) for a relaxed La3Er5Tm crystal.

The structure belongs to space group C2/m (No. 12); the cell edges are 12.253, 8.229 and 13.216 Å and the angles 90.00°, 108.00° and 90.00°. The distinct sites, in fractional coordinates, are La at (0.000, 0.000, 0.000), La at (0.000, 0.000, 0.500), La at (0.157, 0.500, 0.230), La at (0.235, 0.500, 0.489), Er at (0.000, 0.322, 0.000), Er at (0.049, 0.500, 0.622), Er at (0.093, 0.202, 0.788), Er at (0.236, 0.500, 0.981) and Tm at (0.169, 0.000, 0.242).

For the formation energy, the calculation gives 3.96 eV per formula unit.



Question: The highest formation energy belongs to which entry?
Answer: La3Er5Tm